Record 1
The following is a PBE calculation of a relaxed CeErU2P4 crystal, from Alexandria.

Cell and atoms, written as POSCAR:
```
CeErU2P4
1.0
6.8618 0.0000 0.0000
0.0000 3.9600 0.0000
-2.2860 0.0000 6.5863
Ce Er U P
1 1 2 4
Direct
0.0000 0.0000 0.0000
0.5000 0.5000 0.0000
0.0000 0.5000 0.5000
0.5000 0.0000 0.5000
0.2520 0.0000 0.7446
0.2568 0.5000 0.2578
0.7432 0.5000 0.7422
0.7480 0.0000 0.2554
```

Values from the calculation:
total energy: -8.0903 eV/atom
symmetry: P2/m (10)

Record 2
The following is a PBE calculation of a relaxed TeRu4Au crystal, from Alexandria.

Cell and atoms, written as POSCAR:
```
TeRu4Au
1.0
0.0000 3.7051 3.7051
3.7051 0.0000 3.7051
3.7051 3.7051 0.0000
Te Ru Au
1 4 1
Direct
0.0000 0.0000 0.0000
0.3753 0.3753 0.3753
0.3753 0.3753 0.8741
0.3753 0.8741 0.3753
0.8741 0.3753 0.3753
0.7500 0.7500 0.7500
```

Values from the calculation:
formation energy from raw total energies: 4.13 eV/f.u.
total energy: -6.5652 eV/atom
symmetry: F-43m (216)

Record 3
The following is a PBE calculation of a relaxed LiTaGeRuI crystal, from Alexandria.

Cell and atoms, written as POSCAR:
```
LiTaGeRuI
1.0
2.1257 1.2273 7.6060
-2.1257 1.2273 7.6060
0.0000 -2.4545 7.6060
Li Ta Ge Ru I
1 1 1 1 1
Direct
0.0000 0.0000 0.0000
0.8657 0.8657 0.8657
0.5875 0.5875 0.5875
0.2384 0.2384 0.2384
0.7441 0.7441 0.7441
```

Values from the calculation:
energy above the most stable polymorph in this dataset: 0 meV/atom
formation energy from raw total energies: -1.08 eV/f.u.
total energy: -6.0574 eV/atom
symmetry: R3m (160)